V3P | the Alexandria database | PBE | optimized geometry; E = -34.6 eV for the cell shown; ΔE_f = -1.8 eV/f.u.; SG = Pm-3m; total magnetic moment = 0.00 μB per formula unit; Fermi-level density of states = 0.8 states/eV/f.u.
1.0
-1.796 -2.989 1.215
3.203 -1.484 1.086
-0.391 1.582 3.314
V P
3 1
direct
0.500 0.500 0.917
0.000 0.500 0.417
0.500 0.000 0.417
0.000 0.000 0.917

V3P | the Alexandria database | PBE | optimized geometry; E = -141.5 eV for the cell shown; ΔE_f = -2.6 eV/f.u.; SG = I-4; total magnetic moment = 0.00 μB per formula unit; Fermi-level density of states = 3.6 states/eV/f.u.
1.0
4.722 0.000 0.000
2.361 6.619 0.000
2.361 0.000 6.619
V P
12 4
direct
0.656 0.176 0.987
0.844 0.632 0.659
0.449 0.589 0.026
0.524 0.341 0.632
0.168 0.013 0.176
0.526 0.026 0.411
0.497 0.659 0.368
0.134 0.368 0.341
0.819 0.824 0.013
0.963 0.974 0.589
0.357 0.987 0.824
0.063 0.411 0.974
0.699 0.316 0.265
0.037 0.265 0.684
0.279 0.684 0.735
0.986 0.735 0.316